Computed, not measured: a relaxed structure of Ba2NaEr at the PBE level of DFT.

abc: 14.2223 14.2223 14.2223
angles: 15.37 15.37 15.37
Closest atoms and distances in Å follow each position.
Fractional positions:
1 Ba 0.0843 0.0843 0.0843  1 Er 3.55, 6 Ba 3.80
2 Ba 0.9157 0.9157 0.9157  1 Er 3.55, 6 Ba 3.80
3 Na 0.5000 0.5000 0.5000  6 Na 3.80, 6 Ba 4.11
4 Er 0.0000 0.0000 0.0000  2 Ba 3.55, 6 Er 3.80

Results
- DFT formation energy: 135 kJ/mol of formula units
- Raw total energy: -2.08 eV per atom
- Energy relative to the lowest polymorph listed for this composition: 0.157 eV per atom
- Total moment: 0.00 Bohr magnetons per cell